# SrVInO2 | the Alexandria database | PBE+U | relaxed
# calculated volume = 20.69 Å³ per atom
# VASP energy = -4.386 eV/atom
# D(E_F) = 0.34 states/eV/atom
data_SrVInO2
_chemical_formula_sum 'Sr1 V1 In1 O2'
_cell_length_a 4.475
_cell_length_b 4.475
_cell_length_c 5.166
_cell_angle_alpha 90.00
_cell_angle_beta 90.00
_cell_angle_gamma 90.00
_symmetry_space_group_name_H-M 'P 1'
_symmetry_Int_Tables_number 1
loop_
_symmetry_equiv_pos_as_xyz
'x,y,z'
loop_
_atom_site_label
_atom_site_fract_x
_atom_site_fract_y
_atom_site_fract_z
Sr1 0.000 0.000 0.000
V1 0.500 0.500 0.000
In1 0.500 0.500 0.500
O1 0.000 0.500 0.500
O2 0.500 0.000 0.500